Entry 1:
# MnRh2I (PBE-GGA, optimized geometry)
data_MnRh2I
_chemical_formula_sum 'Mn1 Rh2 I1'
_cell_length_a 4.5536
_cell_length_b 4.5536
_cell_length_c 4.5536
_cell_angle_alpha 60.00
_cell_angle_beta 60.00
_cell_angle_gamma 60.00
_symmetry_space_group_name_H-M 'P 1'
_symmetry_Int_Tables_number 1
loop_
_symmetry_equiv_pos_as_xyz
'x,y,z'
loop_
_atom_site_label
_atom_site_type_symbol
_atom_site_fract_x
_atom_site_fract_y
_atom_site_fract_z
_atom_site_occupancy
Mn1 Mn 0.0000 0.0000 0.0000 1
Rh1 Rh 0.2500 0.2500 0.2500 1
Rh2 Rh 0.7500 0.7500 0.7500 1
I1 I 0.5000 0.5000 0.5000 1
# E above lowest polymorph: 0.000 eV/atom
# Fermi-level density of states: 5.0 states/eV per cell
# Magnetic moment: 1.06 μB per atom
# ρ: 9.6 g/cm3
# E: -5.943 eV/atom

=====

Entry 2:
# AcLa5Y3 (PBE-GGA, optimized geometry)
data_AcLa5Y3
_chemical_formula_sum 'Ac2 La10 Y6'
_cell_length_a 10.9030
_cell_length_b 10.9030
_cell_length_c 10.9030
_cell_angle_alpha 139.72
_cell_angle_beta 68.05
_cell_angle_gamma 127.65
_symmetry_space_group_name_H-M 'P 1'
_symmetry_Int_Tables_number 1
loop_
_symmetry_equiv_pos_as_xyz
'x,y,z'
loop_
_atom_site_label
_atom_site_type_symbol
_atom_site_fract_x
_atom_site_fract_y
_atom_site_fract_z
_atom_site_occupancy
Ac1 Ac 0.3455 0.0955 0.2500 1
Ac2 Ac 0.6545 0.9045 0.7500 1
La1 La 0.1608 0.3397 0.3429 1
La2 La 0.1608 0.8179 0.8211 1
La3 La 0.2909 0.5409 0.7500 1
La4 La 0.4968 0.3397 0.6789 1
La5 La 0.4968 0.8179 0.1571 1
La6 La 0.5032 0.1821 0.8429 1
La7 La 0.5032 0.6603 0.3211 1
La8 La 0.7091 0.4591 0.2500 1
La9 La 0.8392 0.1821 0.1789 1
La10 La 0.8392 0.6603 0.6571 1
Y1 Y 0.0000 0.0000 0.5000 1
Y2 Y 0.0000 0.5000 0.0000 1
Y3 Y 0.1637 0.2410 0.9227 1
Y4 Y 0.1817 0.7590 0.4227 1
Y5 Y 0.8183 0.2410 0.5773 1
Y6 Y 0.8363 0.7590 0.0773 1
# ΔH_f (0 K): 0.122 eV/atom
# Fermi-level density of states: 27.2 states/eV per cell
# Magnetic moment: 0.00 μB per atom
# ρ: 6.0 g/cm3
# E: -5.227 eV/atom

=====

Entry 3:
# MgTc2Se (PBE-GGA, optimized geometry)
data_MgTc2Se
_chemical_formula_sum 'Mg1 Tc2 Se1'
_cell_length_a 4.8367
_cell_length_b 4.8367
_cell_length_c 3.0204
_cell_angle_alpha 90.00
_cell_angle_beta 90.00
_cell_angle_gamma 115.17
_symmetry_space_group_name_H-M 'P 1'
_symmetry_Int_Tables_number 1
loop_
_symmetry_equiv_pos_as_xyz
'x,y,z'
loop_
_atom_site_label
_atom_site_type_symbol
_atom_site_fract_x
_atom_site_fract_y
_atom_site_fract_z
_atom_site_occupancy
Mg1 Mg 0.0000 0.0000 0.0000 1
Tc1 Tc 0.0000 0.5000 0.5000 1
Tc2 Tc 0.5000 0.0000 0.5000 1
Se1 Se 0.5000 0.5000 0.0000 1
# E above lowest polymorph: 0.440 eV/atom
# Fermi-level density of states: 3.9 states/eV per cell
# Magnetic moment: 0.00 μB per atom
# ρ: 7.8 g/cm3
# E: -6.013 eV/atom

=====

Entry 4:
# SrHf3Se (PBE-GGA, optimized geometry)
data_SrHf3Se
_chemical_formula_sum 'Sr1 Hf3 Se1'
_cell_length_a 5.1765
_cell_length_b 5.1765
_cell_length_c 5.1765
_cell_angle_alpha 90.00
_cell_angle_beta 90.00
_cell_angle_gamma 90.00
_symmetry_space_group_name_H-M 'P 1'
_symmetry_Int_Tables_number 1
loop_
_symmetry_equiv_pos_as_xyz
'x,y,z'
loop_
_atom_site_label
_atom_site_type_symbol
_atom_site_fract_x
_atom_site_fract_y
_atom_site_fract_z
_atom_site_occupancy
Sr1 Sr 0.0000 0.0000 0.0000 1
Hf1 Hf 0.0000 0.0000 0.5000 1
Hf2 Hf 0.0000 0.5000 0.0000 1
Hf3 Hf 0.5000 0.0000 0.0000 1
Se1 Se 0.5000 0.5000 0.5000 1
# E above lowest polymorph: 1.942 eV/atom
# Fermi-level density of states: 10.5 states/eV per cell
# Magnetic moment: 0.00 μB per atom
# ρ: 8.4 g/cm3
# E: -4.941 eV/atom

=====

Entry 5:
# TbEr2Cd2 (PBE-GGA, optimized geometry)
data_TbEr2Cd2
_chemical_formula_sum 'Tb2 Er4 Cd4'
_cell_length_a 3.6977
_cell_length_b 5.3246
_cell_length_c 13.8071
_cell_angle_alpha 90.00
_cell_angle_beta 97.72
_cell_angle_gamma 90.00
_symmetry_space_group_name_H-M 'P 1'
_symmetry_Int_Tables_number 1
loop_
_symmetry_equiv_pos_as_xyz
'x,y,z'
loop_
_atom_site_label
_atom_site_type_symbol
_atom_site_fract_x
_atom_site_fract_y
_atom_site_fract_z
_atom_site_occupancy
Tb1 Tb 0.1497 0.2500 0.2980 1
Tb2 Tb 0.8503 0.7500 0.7020 1
Er1 Er 0.0461 0.7500 0.0918 1
Er2 Er 0.2360 0.7500 0.4727 1
Er3 Er 0.7640 0.2500 0.5273 1
Er4 Er 0.9539 0.2500 0.9082 1
Cd1 Cd 0.3586 0.2500 0.7177 1
Cd2 Cd 0.4497 0.7500 0.8995 1
Cd3 Cd 0.5503 0.2500 0.1005 1
Cd4 Cd 0.6414 0.7500 0.2823 1
# E above lowest polymorph: 0.000 eV/atom
# ΔH_f (0 K): -0.257 eV/atom
# Fermi-level density of states: 9.2 states/eV per cell
# Magnetic moment: 0.00 μB per atom
# ρ: 8.9 g/cm3
# E: -3.374 eV/atom

=====

Entry 6:
# BeAlFe (PBE-GGA, optimized geometry)
data_BeAlFe
_chemical_formula_sum 'Be1 Al1 Fe1'
_cell_length_a 4.5385
_cell_length_b 4.5385
_cell_length_c 4.5385
_cell_angle_alpha 143.94
_cell_angle_beta 143.94
_cell_angle_gamma 51.92
_symmetry_space_group_name_H-M 'P 1'
_symmetry_Int_Tables_number 1
loop_
_symmetry_equiv_pos_as_xyz
'x,y,z'
loop_
_atom_site_label
_atom_site_type_symbol
_atom_site_fract_x
_atom_site_fract_y
_atom_site_fract_z
_atom_site_occupancy
Be1 Be 0.0000 0.0000 0.0000 1
Al1 Al 0.3049 0.3049 0.0000 1
Fe1 Fe 0.6250 0.6250 0.0000 1
# E above lowest polymorph: 0.000 eV/atom
# ΔH_f (0 K): -0.218 eV/atom
# Fermi-level density of states: 2.1 states/eV per cell
# Magnetic moment: 0.15 μB per atom
# ρ: 4.7 g/cm3
# E: -5.529 eV/atom

=====

Which of these has the highest E? TbEr2Cd2

=====

Which value of magnetic moment does entry 4 give? 0.00 μB per atom

=====

magnetic moment of number 4 (SrHf3Se)? 0.00 μB per atom

=====

The highest magnetic moment belongs to which entry? MnRh2I